A relaxed Na2CaTaSe4 crystal. Source: the Alexandria database, functional GGA-PBE.

uncorrected formation energy = -1.005 eV per atom
M_tot = 1.02 μB/f.u.

Structure (CIF):
```
data_Na2CaTaSe4
_chemical_formula_sum 'Na4 Ca2 Ta2 Se8'
_space_group_name_H-M_alt 'I -4'
_space_group_IT_number 82
_space_group_name_Hall 'I -4'
_cell_length_a 6.941
_cell_length_b 6.941
_cell_length_c 10.658
_cell_angle_alpha 90.00
_cell_angle_beta 90.00
_cell_angle_gamma 90.00
loop_
_atom_site_label
_atom_site_type_symbol
_atom_site_fract_x
_atom_site_fract_y
_atom_site_fract_z
_atom_site_occupancy
Na1 Na 0.000 0.000 0.000 1
Na2 Na 0.000 0.500 0.250 1
Ca1 Ca 0.000 0.000 0.500 1
Ta1 Ta 0.000 0.500 0.750 1
Se1 Se 0.218 0.722 0.637 1
```